# 1
A relaxed structure of Zn2H2N. Source: Alexandria, functional PBE-GGA.

Results
SG   I4/mmm, No. 139
Distance to the lowest polymorph of the same formula   0.000 eV per atom
Density   5629 kg/m3
DOS(E_F)   1.039 states/eV per cell
Spin magnetization   0.0 μB per formula unit

Cell: 3.9716 3.9716 3.9716 Å, 121.40 121.40 87.59°
Positions (direct):
Zn  0.2500  0.7500  0.5000
Zn  0.7500  0.2500  0.5000
H  0.0706  0.0706  0.0000
H  0.9294  0.9294  0.0000
N  0.5000  0.5000  0.0000

# 2
A relaxed structure of Rb2LaNbI6. Source: Alexandria, functional PBE-GGA.

Results
SG   Fm-3m, No. 225
Density   4431 kg/m3
DOS(E_F)   4.037 states/eV per cell
Raw formation energy   -0.96 eV/atom
Spin magnetization   2.0 μB per formula unit

Cell: 8.5130 8.5130 8.5130 Å, 60.00 60.00 60.00°
Positions (direct):
Rb  0.2500  0.2500  0.2500
Rb  0.7500  0.7500  0.7500
La  0.0000  0.0000  0.0000
Nb  0.5000  0.5000  0.5000
I  0.2608  0.2608  0.7392
I  0.2608  0.7392  0.2608
I  0.2608  0.7392  0.7392
I  0.7392  0.2608  0.2608
I  0.7392  0.2608  0.7392
I  0.7392  0.7392  0.2608

# 3
A relaxed structure of NaSmY2Te4. Source: Alexandria, functional PBE-GGA.

Results
SG   P2/m, No. 10
Density   5848 kg/m3
DOS(E_F)   3.187 states/eV per cell
Raw formation energy   -1.34 eV/atom
Spin magnetization   0.0 μB per formula unit

Cell: 7.6789 4.3795 7.6897 Å, 90.00 108.90 90.00°
Positions (direct):
Na  0.0000  0.0000  0.0000
Sm  0.5000  0.5000  0.0000
Y  0.0000  0.5000  0.5000
Y  0.5000  0.0000  0.5000
Te  0.2462  0.0000  0.7451
Te  0.2518  0.5000  0.2561
Te  0.7482  0.5000  0.7439
Te  0.7538  0.0000  0.2549

# 4
A relaxed structure of InHgGeF6. Source: Alexandria, functional PBE-GGA.

Results
SG   P1, No. 1
Density   5670 kg/m3
DOS(E_F)   0.950 states/eV per cell
Raw formation energy   -2.04 eV/atom
Spin magnetization   0.0 μB per formula unit

Cell: 4.6840 5.1448 6.3269 Å, 85.81 75.60 85.77°
Positions (direct):
In  0.0000  0.0000  0.0000
Hg  0.4006  0.9846  0.2827
Ge  0.6147  0.5203  0.7022
F  0.3214  0.3721  0.9167
F  0.3587  0.8297  0.7228
F  0.4693  0.4034  0.4928
F  0.7601  0.6365  0.9233
F  0.8541  0.2131  0.7155
F  0.8888  0.6855  0.5011

# 5
A relaxed structure of Ca2NiSe. Source: Alexandria, functional PBE-GGA.

Results
SG   I-42d, No. 122
Density   3365 kg/m3
DOS(E_F)   0.000 states/eV per cell
Raw formation energy   -0.56 eV/atom
Spin magnetization   0.0 μB per formula unit

Cell: 6.5430 6.5430 6.5430 Å, 111.37 111.37 105.74°
Positions (direct):
Ca  0.1132  0.6250  0.9882
Ca  0.3750  0.3632  0.4882
Ca  0.6368  0.1250  0.0118
Ca  0.8750  0.8868  0.5118
Ni  0.0000  0.0000  0.0000
Ni  0.7500  0.2500  0.5000
Se  0.2500  0.7500  0.5000
Se  0.5000  0.5000  0.0000

# 6
A relaxed structure of La8Dy6Th. Source: Alexandria, functional PBE-GGA.

Results
SG   R-3, No. 148
Density   7434 kg/m3
DOS(E_F)   23.837 states/eV per cell
Total energy   -4.85 eV per atom
Spin magnetization   0.0 μB per formula unit

Cell: 8.8362 8.8362 8.8362 Å, 62.77 62.77 62.77°
Positions (direct):
La  0.0781  0.0781  0.0781
La  0.2145  0.6167  0.2577
La  0.2577  0.2145  0.6167
La  0.3833  0.7423  0.7855
La  0.6167  0.2577  0.2145
La  0.7423  0.7855  0.3833
La  0.7855  0.3833  0.7423
La  0.9219  0.9219  0.9219
Dy  0.0385  0.5939  0.7515
Dy  0.2485  0.9615  0.4061
Dy  0.4061  0.2485  0.9615
Dy  0.5939  0.7515  0.0385
Dy  0.7515  0.0385  0.5939
Dy  0.9615  0.4061  0.2485
Th  0.5000  0.5000  0.5000